(1)
A relaxed Na3Ga8Sn crystal. Source: Alexandria, functional PBE.

Computed properties:
As for the uncorrected energy: -33.19 eV/f.u.

abc: 5.6492 5.6492 9.7697
angles: 73.19 73.19 60.00
Last column: nearest neighbours and their distance in Å.
Fractional positions:
Na (0.3765, 0.3765, 0.8705)  12 Ga 3.28-3.31, 4 Na 3.41-3.48
Na (0.9992, 0.9992, 0.0023)  12 Ga 3.28-3.33, 3 Na 3.48, 1 Sn 3.56
Na (0.4999, 0.4999, 0.5004)  12 Ga 3.31-3.35, 1 Na 3.41, 3 Sn 3.42
Ga (0.9403, 0.4383, 0.1832)  6 Ga 2.81-2.86
Ga (0.4324, 0.9393, 0.6891)  6 Ga 2.78-2.86
Ga (0.4383, 0.4383, 0.1832)  6 Ga 2.81-2.86
Ga (0.9393, 0.9393, 0.6891)  6 Ga 2.78-2.86
Ga (0.1869, 0.1869, 0.4392)  6 Ga 2.81-2.86
Ga (0.6894, 0.6894, 0.9317)  6 Ga 2.78-2.84
Ga (0.4383, 0.9403, 0.1832)  6 Ga 2.81-2.86
Ga (0.9393, 0.4324, 0.6891)  6 Ga 2.78-2.86
Sn (0.8704, 0.8704, 0.3889)  12 Ga 3.22-3.40, 4 Na 3.42-3.56

---

(2)
A relaxed NaGaSn crystal. Source: Alexandria, functional PBE.

Computed properties:
As for the uncorrected energy: -8.90 eV/f.u.

abc: 4.6900 4.6900 7.5711
angles: 90.00 90.00 120.00
Last column: nearest neighbours and their distance in Å.
Fractional positions:
Na (0.0000, 0.0000, 0.7387)  3 Ga 3.03, 3 Sn 3.15
Na (0.0000, 0.0000, 0.2387)  3 Ga 3.03, 3 Sn 3.15
Sn (0.3333, 0.6667, 0.4508)  4 Ga 2.83-2.96, 3 Na 3.15
Sn (0.6667, 0.3333, 0.9508)  4 Ga 2.83-2.96, 3 Na 3.15
Ga (0.3333, 0.6667, 0.0605)  4 Sn 2.83-2.96, 3 Na 3.03
Ga (0.6667, 0.3333, 0.5605)  4 Sn 2.83-2.96, 3 Na 3.03

---

(3)
A relaxed NaGa4Sn2 crystal. Source: Alexandria, functional PBE.

Computed properties:
For the excess energy over the best structure of this formula in the dataset, the calculation gives 17 meV per atom.

abc: 5.2915 5.1708 8.6530
angles: 107.40 72.36 60.71
Last column: nearest neighbours and their distance in Å.
Fractional positions:
Na (0.0000, 0.0000, 0.0000)  8 Ga 3.22-3.38, 6 Sn 3.38-3.60
Ga (0.4967, 0.1640, 0.8178)  1 Ga 2.72, 2 Sn 2.93
Ga (0.1842, 0.6875, 0.5458)  2 Ga 2.59-2.72, 1 Sn 2.82
Ga (0.5033, 0.8360, 0.1822)  1 Ga 2.72, 2 Sn 2.93
Ga (0.8158, 0.3125, 0.4542)  2 Ga 2.59-2.72, 1 Sn 2.82
Sn (0.9224, 0.4226, 0.7603)  7 Ga 2.82-3.13
Sn (0.0776, 0.5774, 0.2397)  7 Ga 2.82-3.13

---

(4)
A relaxed NaGaSn crystal. Source: Alexandria, functional PBE.

Computed properties:
As for the uncorrected energy: -8.52 eV/f.u.

abc: 15.2773 4.6784 8.7045
angles: 74.41 28.65 90.00
Last column: nearest neighbours and their distance in Å.
Fractional positions:
Na (0.8641, 0.5174, 0.9651)  4 Sn 3.03-3.24, 2 Na 3.31, 1 Ga 3.33
Na (0.1708, 0.5174, 0.9651)  4 Sn 3.03-3.24, 2 Na 3.31, 1 Ga 3.33
Na (0.0154, 0.0154, 0.9692)  1 Ga 3.22, 4 Sn 3.23-3.33, 4 Na 3.31
Sn (0.6927, 0.1927, 0.6146)  4 Ga 2.76-3.01
Sn (0.4867, 0.3160, 0.3680)  4 Ga 2.82-2.92, 3 Na 3.03-3.13
Sn (0.1454, 0.3160, 0.3680)  4 Ga 2.82-2.92, 3 Na 3.03-3.13
Ga (0.4805, 0.4805, 0.0389)  4 Sn 2.76-2.84
Ga (0.7256, 0.0411, 0.9177)  4 Sn 2.82-3.01
Ga (0.3566, 0.0411, 0.9177)  4 Sn 2.82-3.01

---

(5)
A relaxed Na3GaSn crystal. Source: Alexandria, functional PBE.

Computed properties:
For the excess energy over the best structure of this formula in the dataset, the calculation gives 391 meV per atom.

abc: 5.8482 5.8482 5.8482
angles: 90.00 90.00 90.00
Last column: nearest neighbours and their distance in Å.
Fractional positions:
Na (0.0000, 0.5000, 0.0000)  2 Sn 2.92
Na (0.0000, 0.0000, 0.5000)  2 Sn 2.92
Na (0.5000, 0.0000, 0.0000)  2 Sn 2.92
Sn (0.0000, 0.0000, 0.0000)  6 Na 2.92
Ga (0.5000, 0.5000, 0.5000)  12 Na 4.14

---

(6)
A relaxed NaGa3Sn3 crystal. Source: Alexandria, functional PBE.

Computed properties:
For the excess energy over the best structure of this formula in the dataset, the calculation gives 62 meV per atom.

abc: 7.6651 7.6651 7.6651
angles: 90.00 90.00 90.00
Last column: nearest neighbours and their distance in Å.
Fractional positions:
Na (0.5000, 0.5000, 0.5000)  12 Sn 4.28, 12 Ga 4.28
Na (0.0000, 0.0000, 0.0000)  12 Sn 4.28, 12 Ga 4.28
Sn (0.2500, 0.0000, 0.5000)  4 Ga 2.71
Sn (0.0000, 0.5000, 0.2500)  4 Ga 2.71
Sn (0.5000, 0.7500, 0.0000)  4 Ga 2.71
Sn (0.7500, 0.0000, 0.5000)  4 Ga 2.71
Sn (0.0000, 0.5000, 0.7500)  4 Ga 2.71
Sn (0.5000, 0.2500, 0.0000)  4 Ga 2.71
Ga (0.0000, 0.2500, 0.5000)  4 Sn 2.71
Ga (0.0000, 0.7500, 0.5000)  4 Sn 2.71
Ga (0.5000, 0.0000, 0.7500)  4 Sn 2.71
Ga (0.7500, 0.5000, 0.0000)  4 Sn 2.71
Ga (0.5000, 0.0000, 0.2500)  4 Sn 2.71
Ga (0.2500, 0.5000, 0.0000)  4 Sn 2.71